# ErTmTh6 PBE relaxed
data_ErTmTh6
_chemical_formula_sum 'Er1 Tm1 Th6'
_cell_length_a 5.036
_cell_length_b 5.036
_cell_length_c 10.071
_cell_angle_alpha 90.00
_cell_angle_beta 90.00
_cell_angle_gamma 90.00
_space_group_name_H-M_alt 'P 4/m m m'
_space_group_IT_number 123
_space_group_name_Hall '-P 4 2'
loop_
_atom_site_label
_atom_site_fract_x
_atom_site_fract_y
_atom_site_fract_z
_atom_site_occupancy
Er1 0.000 0.000 0.000 1
Tm1 0.000 0.000 0.500 1
Th1 0.000 0.500 0.250 1
Th2 0.500 0.500 0.000 1
Th3 0.500 0.500 0.500 1
# Calculated formation energy, eV/atom: 0.052
# Final energy, eV per atom: -6.642
# Calculated density, g/cm3: 11.24
# Excess energy over the best structure of this formula in the dataset, meV per atom: 0
# Fermi-level density of states, states/eV/atom: 1.663